No. 1
Entry from the Alexandria database: PmZn3As3 after structural relaxation (PBE). Values from VASP.

Structure (Quantum ESPRESSO input):
```
&SYSTEM
  ibrav = 0, nat = 14, ntyp = 3
/
ATOMIC_SPECIES
Pm 145.00 Pm.upf
Zn 65.41 Zn.upf
As 74.92 As.upf
ATOMIC_POSITIONS angstrom
Pm 0.000 5.789 1.014
Pm 5.014 2.895 3.042
Zn -2.837 5.727 3.042
Zn 1.472 3.364 3.042
Zn 3.649 0.407 1.014
Zn 1.364 8.277 3.042
Zn 3.541 5.320 1.014
Zn 7.850 2.957 1.014
As -0.973 3.676 3.042
As -1.343 7.689 3.042
As 2.697 2.681 1.014
As 2.317 6.003 3.042
As 6.357 0.995 1.014
As 5.987 5.008 1.014
CELL_PARAMETERS angstrom
10.027 0.000 0.000
-5.014 8.684 0.000
0.000 0.000 4.056
```

Calculated values
Its space group is P6_3/m, No. 176. As for the energy of formation from the pure elements: -487 meV per atom.

No. 2
Entry from the Alexandria database: Pm2ZnAs after structural relaxation (PBE). Values from VASP.

Structure (Quantum ESPRESSO input):
```
&SYSTEM
  ibrav = 0, nat = 4, ntyp = 3
/
ATOMIC_SPECIES
Pm 145.00 Pm.upf
Zn 65.41 Zn.upf
As 74.92 As.upf
ATOMIC_POSITIONS angstrom
Pm 0.000 0.000 5.275
Pm 0.000 0.000 16.483
Zn 0.000 0.000 0.000
As 0.000 0.000 10.879
CELL_PARAMETERS angstrom
2.094 1.209 7.253
-2.094 1.209 7.253
0.000 -2.418 7.253
```

Calculated values
The relative energy among the computed polymorphs is 0 meV per atom. Its space group is R-3m, No. 166. As for the energy of formation from the pure elements: -804 meV per atom.

No. 3
Entry from the Alexandria database: PmZnAs2 after structural relaxation (PBE). Values from VASP.

Structure (Quantum ESPRESSO input):
```
&SYSTEM
  ibrav = 0, nat = 4, ntyp = 3
/
ATOMIC_SPECIES
Pm 145.00 Pm.upf
Zn 65.41 Zn.upf
As 74.92 As.upf
ATOMIC_POSITIONS angstrom
Pm 0.000 0.000 0.000
Zn 2.303 2.303 0.000
As 0.000 2.303 1.976
As 2.303 0.000 1.976
CELL_PARAMETERS angstrom
4.607 0.000 0.000
0.000 4.607 0.000
0.000 0.000 3.953
```

Calculated values
The relative energy among the computed polymorphs is 141 meV per atom. Its space group is P4/mmm, No. 123. As for the energy of formation from the pure elements: -584 meV per atom.

No. 4
Entry from the Alexandria database: PmZnAs2 after structural relaxation (PBE). Values from VASP.

Structure (Quantum ESPRESSO input):
```
&SYSTEM
  ibrav = 0, nat = 4, ntyp = 3
/
ATOMIC_SPECIES
Pm 145.00 Pm.upf
Zn 65.41 Zn.upf
As 74.92 As.upf
ATOMIC_POSITIONS angstrom
Pm 0.000 0.000 0.000
Zn 0.000 0.000 9.224
As 0.000 0.000 4.414
As 0.000 0.000 14.035
CELL_PARAMETERS angstrom
2.078 1.200 6.150
-2.078 1.200 6.150
0.000 -2.399 6.150
```

Calculated values
The relative energy among the computed polymorphs is 208 meV per atom. Its space group is R-3m, No. 166. As for the energy of formation from the pure elements: -517 meV per atom.

No. 5
Entry from the Alexandria database: PmZn4As after structural relaxation (PBE). Values from VASP.

Structure (Quantum ESPRESSO input):
```
&SYSTEM
  ibrav = 0, nat = 6, ntyp = 3
/
ATOMIC_SPECIES
Pm 145.00 Pm.upf
Zn 65.41 Zn.upf
As 74.92 As.upf
ATOMIC_POSITIONS angstrom
Pm 0.000 0.000 0.000
Zn 2.887 2.887 2.887
Zn 4.798 4.798 2.887
Zn 4.798 2.887 4.798
Zn 2.887 4.798 4.798
As 5.764 5.764 5.764
CELL_PARAMETERS angstrom
0.000 3.843 3.843
3.843 0.000 3.843
3.843 3.843 0.000
```

Calculated values
Its space group is F-43m, No. 216. As for the energy of formation from the pure elements: -131 meV per atom.

No. 6
Entry from the Alexandria database: Pm2ZnAs after structural relaxation (PBE). Values from VASP.

Structure (Quantum ESPRESSO input):
```
&SYSTEM
  ibrav = 0, nat = 4, ntyp = 3
/
ATOMIC_SPECIES
Pm 145.00 Pm.upf
Zn 65.41 Zn.upf
As 74.92 As.upf
ATOMIC_POSITIONS angstrom
Pm 1.820 1.820 1.820
Pm 5.461 5.461 5.461
Zn 0.000 0.000 0.000
As 3.641 3.641 3.641
CELL_PARAMETERS angstrom
0.000 3.641 3.641
3.641 0.000 3.641
3.641 3.641 0.000
```

Calculated values
The relative energy among the computed polymorphs is 167 meV per atom. Its space group is Fm-3m, No. 225. As for the energy of formation from the pure elements: -637 meV per atom.

No. 7
Entry from the Alexandria database: PmZnAs2 after structural relaxation (PBE). Values from VASP.

Structure (Quantum ESPRESSO input):
```
&SYSTEM
  ibrav = 0, nat = 8, ntyp = 3
/
ATOMIC_SPECIES
Pm 145.00 Pm.upf
Zn 65.41 Zn.upf
As 74.92 As.upf
ATOMIC_POSITIONS angstrom
Pm 1.009 1.009 2.278
Pm 3.027 3.027 8.074
Zn 1.009 3.027 5.176
Zn 3.027 1.009 5.176
As 1.009 1.009 6.902
As 1.009 3.027 0.000
As 3.027 1.009 0.000
As 3.027 3.027 3.450
CELL_PARAMETERS angstrom
4.035 0.000 0.000
0.000 4.035 0.000
0.000 0.000 10.352
```

Calculated values
The relative energy among the computed polymorphs is 0 meV per atom. Its space group is P4/nmm, No. 129. As for the energy of formation from the pure elements: -725 meV per atom.

No. 8
Entry from the Alexandria database: PmZnAs2 after structural relaxation (PBE). Values from VASP.

Structure (Quantum ESPRESSO input):
```
&SYSTEM
  ibrav = 0, nat = 4, ntyp = 3
/
ATOMIC_SPECIES
Pm 145.00 Pm.upf
Zn 65.41 Zn.upf
As 74.92 As.upf
ATOMIC_POSITIONS angstrom
Pm 0.000 0.000 0.000
Zn 0.000 0.000 2.969
As 1.888 1.888 1.640
As 1.888 1.888 4.298
CELL_PARAMETERS angstrom
3.776 0.000 0.000
0.000 3.776 0.000
0.000 0.000 5.939
```

Calculated values
The relative energy among the computed polymorphs is 249 meV per atom. Its space group is P4/mmm, No. 123. As for the energy of formation from the pure elements: -477 meV per atom.

No. 9
Entry from the Alexandria database: PmZnAs after structural relaxation (PBE). Values from VASP.

Structure (Quantum ESPRESSO input):
```
&SYSTEM
  ibrav = 0, nat = 3, ntyp = 3
/
ATOMIC_SPECIES
Pm 145.00 Pm.upf
Zn 65.41 Zn.upf
As 74.92 As.upf
ATOMIC_POSITIONS angstrom
Pm 0.000 0.000 0.000
Zn 0.000 0.000 5.586
As 0.000 0.000 3.010
CELL_PARAMETERS angstrom
-2.041 2.041 4.242
2.041 -2.041 4.242
2.041 2.041 -4.242
```

Calculated values
The relative energy among the computed polymorphs is 281 meV per atom. Its space group is I4mm, No. 107. As for the energy of formation from the pure elements: -519 meV per atom.

No. 10
Entry from the Alexandria database: Pm2ZnAs after structural relaxation (PBE). Values from VASP.

Structure (Quantum ESPRESSO input):
```
&SYSTEM
  ibrav = 0, nat = 4, ntyp = 3
/
ATOMIC_SPECIES
Pm 145.00 Pm.upf
Zn 65.41 Zn.upf
As 74.92 As.upf
ATOMIC_POSITIONS angstrom
Pm 0.000 0.000 1.634
Pm 0.000 0.000 5.140
Zn 1.893 1.893 3.387
As 1.893 1.893 0.000
CELL_PARAMETERS angstrom
3.787 0.000 0.000
0.000 3.787 0.000
0.000 0.000 6.774
```

Calculated values
The relative energy among the computed polymorphs is 56 meV per atom. Its space group is P4/mmm, No. 123. As for the energy of formation from the pure elements: -748 meV per atom.

No. 11
Entry from the Alexandria database: PmZrAs after structural relaxation (PBE). Values from VASP.

Structure (Quantum ESPRESSO input):
```
&SYSTEM
  ibrav = 0, nat = 6, ntyp = 3
/
ATOMIC_SPECIES
Pm 145.00 Pm.upf
Zr 91.22 Zr.upf
As 74.92 As.upf
ATOMIC_POSITIONS angstrom
Pm 0.000 0.000 2.882
Pm 0.000 0.000 13.385
Zr 2.081 0.000 0.000
Zr 0.000 2.081 0.000
As 0.000 0.000 6.060
As 0.000 0.000 10.207
CELL_PARAMETERS angstrom
-2.081 2.081 8.134
2.081 -2.081 8.134
2.081 2.081 -8.134
```

Calculated values
The relative energy among the computed polymorphs is 0 meV per atom. Its space group is I4/mmm, No. 139. As for the energy of formation from the pure elements: -1001 meV per atom.

No. 12
Entry from the Alexandria database: Pm2ZrAs3 after structural relaxation (PBE). Values from VASP.

Structure (Quantum ESPRESSO input):
```
&SYSTEM
  ibrav = 0, nat = 6, ntyp = 3
/
ATOMIC_SPECIES
Pm 145.00 Pm.upf
Zr 91.22 Zr.upf
As 74.92 As.upf
ATOMIC_POSITIONS angstrom
Pm 0.000 0.000 2.892
Pm 0.000 0.000 14.460
Zr 0.000 0.000 8.676
As 0.000 0.000 0.000
As 0.000 0.000 5.903
As 0.000 0.000 11.449
CELL_PARAMETERS angstrom
-2.061 2.061 8.676
2.061 -2.061 8.676
2.061 2.061 -8.676
```

Calculated values
Its space group is I4/mmm, No. 139. As for the energy of formation from the pure elements: -1330 meV per atom.

No. 13
Entry from the Alexandria database: PmZrAs2 after structural relaxation (PBE). Values from VASP.

Structure (Quantum ESPRESSO input):
```
&SYSTEM
  ibrav = 0, nat = 8, ntyp = 3
/
ATOMIC_SPECIES
Pm 145.00 Pm.upf
Zr 91.22 Zr.upf
As 74.92 As.upf
ATOMIC_POSITIONS angstrom
Pm 0.000 2.302 3.396
Pm 1.994 1.151 10.188
Zr 0.000 0.000 0.000
Zr 0.000 0.000 6.792
As 0.000 2.302 8.325
As 0.000 2.302 12.052
As 1.994 1.151 1.532
As 1.994 1.151 5.260
CELL_PARAMETERS angstrom
3.988 0.000 0.000
-1.994 3.453 0.000
0.000 0.000 13.584
```

Calculated values
The relative energy among the computed polymorphs is 53 meV per atom. Its space group is P6_3/mmc, No. 194. As for the energy of formation from the pure elements: -1261 meV per atom.

No. 14
Entry from the Alexandria database: PmZrAs2 after structural relaxation (PBE). Values from VASP.

Structure (Quantum ESPRESSO input):
```
&SYSTEM
  ibrav = 0, nat = 4, ntyp = 3
/
ATOMIC_SPECIES
Pm 145.00 Pm.upf
Zr 91.22 Zr.upf
As 74.92 As.upf
ATOMIC_POSITIONS angstrom
Pm 0.000 0.000 0.000
Zr 0.000 0.000 3.641
As 0.000 0.000 12.120
As 0.000 0.000 15.959
CELL_PARAMETERS angstrom
1.979 1.143 6.980
-1.979 1.143 6.980
0.000 -2.286 6.980
```

Calculated values
The relative energy among the computed polymorphs is 92 meV per atom. Its space group is R3m, No. 160. As for the energy of formation from the pure elements: -1222 meV per atom.

No. 15
Entry from the Alexandria database: Pm3ZrAs4 after structural relaxation (PBE). Values from VASP.

Structure (Quantum ESPRESSO input):
```
&SYSTEM
  ibrav = 0, nat = 8, ntyp = 3
/
ATOMIC_SPECIES
Pm 145.00 Pm.upf
Zr 91.22 Zr.upf
As 74.92 As.upf
ATOMIC_POSITIONS angstrom
Pm 0.000 0.000 0.000
Pm 2.073 2.921 2.067
Pm 2.073 -2.921 2.067
Zr 4.146 0.000 0.000
As 4.146 2.821 0.000
As 2.202 0.000 2.067
As 6.090 0.000 2.067
As 4.146 -2.821 0.000
CELL_PARAMETERS angstrom
4.146 -5.841 0.000
4.146 5.841 0.000
0.000 0.000 4.134
```

Calculated values
Its space group is Cmmm, No. 65. As for the energy of formation from the pure elements: -1411 meV per atom.

No. 16
Entry from the Alexandria database: PmZrAs after structural relaxation (PBE). Values from VASP.

Structure (Quantum ESPRESSO input):
```
&SYSTEM
  ibrav = 0, nat = 3, ntyp = 3
/
ATOMIC_SPECIES
Pm 145.00 Pm.upf
Zr 91.22 Zr.upf
As 74.92 As.upf
ATOMIC_POSITIONS angstrom
Pm 0.000 0.000 0.000
Zr 2.321 1.340 2.032
As 0.000 2.680 2.032
CELL_PARAMETERS angstrom
4.641 0.000 0.000
-2.321 4.020 0.000
0.000 0.000 4.064
```

Calculated values
The relative energy among the computed polymorphs is 553 meV per atom. Its space group is P-6m2, No. 187. As for the energy of formation from the pure elements: -448 meV per atom.

No. 17
Entry from the Alexandria database: PmZrAs2 after structural relaxation (PBE). Values from VASP.

Structure (Quantum ESPRESSO input):
```
&SYSTEM
  ibrav = 0, nat = 4, ntyp = 3
/
ATOMIC_SPECIES
Pm 145.00 Pm.upf
Zr 91.22 Zr.upf
As 74.92 As.upf
ATOMIC_POSITIONS angstrom
Pm 0.000 0.000 0.000
Zr 3.518 3.518 3.518
As 1.759 1.759 1.759
As 5.276 5.276 5.276
CELL_PARAMETERS angstrom
0.000 3.518 3.518
3.518 0.000 3.518
3.518 3.518 0.000
```

Calculated values
The relative energy among the computed polymorphs is 461 meV per atom. Its space group is Fm-3m, No. 225. As for the energy of formation from the pure elements: -853 meV per atom.

No. 18
Entry from the Alexandria database: PmZr2As4 after structural relaxation (PBE). Values from VASP.

Structure (Quantum ESPRESSO input):
```
&SYSTEM
  ibrav = 0, nat = 14, ntyp = 3
/
ATOMIC_SPECIES
Pm 145.00 Pm.upf
Zr 91.22 Zr.upf
As 74.92 As.upf
ATOMIC_POSITIONS angstrom
Pm 1.970 5.121 9.553
Pm 1.970 -5.121 3.184
Zr 1.970 1.751 7.070
Zr 1.970 1.751 12.036
Zr 1.970 -1.751 0.701
Zr 1.970 -1.751 5.667
As 0.000 0.000 0.000
As 0.000 0.000 6.369
As 1.970 3.111 1.668
As 1.970 3.111 4.700
As 1.970 0.819 9.553
As 1.970 -0.819 3.184
As 1.970 -3.111 8.037
As 1.970 -3.111 11.069
CELL_PARAMETERS angstrom
1.970 -6.496 0.000
1.970 6.496 0.000
0.000 0.000 12.737
```

Calculated values
Its space group is Cmcm, No. 63. As for the energy of formation from the pure elements: -956 meV per atom.

No. 19
Entry from the Alexandria database: Pm4ZrAs5 after structural relaxation (PBE). Values from VASP.

Structure (Quantum ESPRESSO input):
```
&SYSTEM
  ibrav = 0, nat = 10, ntyp = 3
/
ATOMIC_SPECIES
Pm 145.00 Pm.upf
Zr 91.22 Zr.upf
As 74.92 As.upf
ATOMIC_POSITIONS angstrom
Pm 2.790 0.893 0.000
Pm 3.749 -1.853 2.948
Pm 0.893 6.495 0.000
Pm 1.853 3.749 2.948
Zr 0.000 0.000 2.948
As 0.000 0.000 0.000
As 5.540 1.976 0.000
As 1.976 3.745 0.000
As 2.666 0.897 2.948
As -0.897 2.666 2.948
CELL_PARAMETERS angstrom
-4.642 4.642 2.948
4.642 -4.642 2.948
4.642 4.642 -2.948
```

Calculated values
Its space group is I4/m, No. 87. As for the energy of formation from the pure elements: -1425 meV per atom.

No. 20
Entry from the Alexandria database: PmZrAs2 after structural relaxation (PBE). Values from VASP.

Structure (Quantum ESPRESSO input):
```
&SYSTEM
  ibrav = 0, nat = 4, ntyp = 3
/
ATOMIC_SPECIES
Pm 145.00 Pm.upf
Zr 91.22 Zr.upf
As 74.92 As.upf
ATOMIC_POSITIONS angstrom
Pm 0.000 0.000 0.000
Zr 2.570 2.570 0.000
As 0.000 2.570 1.635
As 2.570 0.000 1.635
CELL_PARAMETERS angstrom
5.141 0.000 0.000
0.000 5.141 0.000
0.000 0.000 3.269
```

Calculated values
The relative energy among the computed polymorphs is 493 meV per atom. Its space group is P4/mmm, No. 123. As for the energy of formation from the pure elements: -821 meV per atom.

| no. | volume (A^3/atom) | DFT total energy (eV/atom) |
| --- | --- | --- |
| 1 | 25.228 | -3.70 |
| 2 | 27.550 | -4.66 |
| 3 | 20.972 | -4.42 |
| 4 | 22.994 | -4.35 |
| 5 | 18.911 | -2.55 |
| 6 | 24.130 | -4.49 |
| 7 | 21.072 | -4.56 |
| 8 | 21.164 | -4.31 |
| 9 | 23.559 | -4.08 |
| 10 | 24.280 | -4.60 |
| 11 | 23.475 | -6.98 |
| 12 | 24.564 | -6.66 |
| 13 | 23.383 | -6.91 |
| 14 | 23.684 | -6.87 |
| 15 | 25.029 | -6.59 |
| 16 | 25.276 | -6.43 |
| 17 | 21.763 | -6.50 |
| 18 | 23.284 | -6.73 |
| 19 | 25.409 | -6.50 |
| 20 | 21.597 | -6.47 |